No. 1
An optimized crystal structure of Sr2TlGaSe5. Source: Alexandria via LeMat-Bulk, functional PBE-GGA.

a = 4.0998 Å, b = 10.0524 Å, c = 12.4443 Å
α = 90.00°, β = 90.00°, γ = 101.77°
With the nearest neighbours (Å) after each atom.
Positions (direct):
Se 0.6371 0.2743 0.4902  1 Tl 2.70
Se 0.3200 0.6401 0.3765  1 Ga 2.47
Se 0.3629 0.7257 0.9902  1 Tl 2.70
Se 0.0407 0.0813 0.0542  2 Ga 2.49
Se 0.4953 0.9906 0.2749  1 Ga 2.41
Se 0.2795 0.5590 0.6828  2 Tl 2.84
Se 0.5047 0.0094 0.7749  1 Ga 2.41
Se 0.6800 0.3599 0.8765  1 Ga 2.47
Se 0.7205 0.4410 0.1828  2 Tl 2.84
Se 0.9593 0.9187 0.5542  2 Ga 2.49
Ga 0.5621 0.1242 0.9457  4 Se 2.41-2.49
Ga 0.4379 0.8758 0.4457  4 Se 2.41-2.49
Tl 0.2276 0.4551 0.0253  5 Se 2.70-2.92
Tl 0.7724 0.5449 0.5253  5 Se 2.70-2.92
Sr 0.8852 0.7703 0.7978  7 Se 3.13-3.36
Sr 0.1148 0.2297 0.2978  7 Se 3.13-3.36
Sr 0.8888 0.7776 0.1766  8 Se 3.14-3.50
Sr 0.1112 0.2224 0.6766  8 Se 3.14-3.50

Computed properties:
As for the space group: Cmc2_1. The theoretical density is 5.6 g cm⁻³.

No. 2
An optimized crystal structure of Sr2UGaSe5. Source: Alexandria via LeMat-Bulk, functional PBE-GGA.

a = 4.2030 Å, b = 9.5554 Å, c = 12.8359 Å
α = 90.00°, β = 90.00°, γ = 102.70°
With the nearest neighbours (Å) after each atom.
Positions (direct):
Se 0.0432 0.0864 0.0404  2 Ga 2.50
Se 0.4999 0.9998 0.7704  1 Ga 2.40
Se 0.6862 0.3724 0.8629  1 Ga 2.58
Se 0.6450 0.2900 0.5066  1 U 2.84, 4 Sr 3.14-3.16
Se 0.5001 0.0002 0.2704  1 Ga 2.40
Se 0.3138 0.6276 0.3629  1 Ga 2.58
Se 0.7044 0.4088 0.1751  2 U 2.88
Se 0.2956 0.5912 0.6751  2 U 2.88
Se 0.9568 0.9136 0.5404  2 Ga 2.50
Se 0.3550 0.7100 0.0066  1 U 2.84, 4 Sr 3.14-3.16
Sr 0.1218 0.2435 0.3256  6 Se 3.16-3.24
Sr 0.8782 0.7565 0.8256  6 Se 3.16-3.24
Sr 0.8827 0.7653 0.1837  8 Se 3.14-3.51
Sr 0.1173 0.2347 0.6837  8 Se 3.14-3.51
U 0.7969 0.5939 0.5220  6 Se 2.84-2.99
U 0.2031 0.4061 0.0220  6 Se 2.84-2.99
Ga 0.5576 0.1153 0.9374  4 Se 2.40-2.58
Ga 0.4424 0.8847 0.4374  4 Se 2.40-2.58

Computed properties:
As for the space group: Cmc2_1. The theoretical density is 5.8 g cm⁻³.

No. 3
An optimized crystal structure of SrYGa2Se. Source: Alexandria via LeMat-Bulk, functional PBE-GGA.

a = 5.5341 Å, b = 5.3870 Å, c = 5.5341 Å
α = 90.00°, β = 90.00°, γ = 90.00°
With the nearest neighbours (Å) after each atom.
Positions (direct):
Sr 0.5000 0.5000 0.5000  8 Ga 3.86, 4 Se 3.91
Y 0.0000 0.0000 0.0000  2 Se 2.69, 4 Ga 2.77
Ga 0.5000 0.0000 0.0000  2 Y 2.77
Ga 0.0000 0.0000 0.5000  2 Y 2.77
Se 0.0000 0.5000 0.0000  2 Y 2.69

Computed properties:
As for the space group: P4/mmm. The theoretical density is 4.0 g cm⁻³.

No. 4
An optimized crystal structure of Sr2ZnGaSe5. Source: Alexandria via LeMat-Bulk, functional PBE-GGA.

a = 4.0837 Å, b = 9.8897 Å, c = 12.2843 Å
α = 90.00°, β = 90.00°, γ = 101.92°
With the nearest neighbours (Å) after each atom.
Positions (direct):
Se 0.7228 0.4456 0.1674  2 Zn 2.69
Se 0.6947 0.3893 0.9128  1 Ga 2.47, 2 Zn 2.64
Se 0.3632 0.7264 0.9803  1 Zn 2.44
Se 0.4861 0.9722 0.2762  1 Ga 2.40
Se 0.2772 0.5544 0.6674  2 Zn 2.69
Se 0.9572 0.9145 0.5567  2 Ga 2.48
Se 0.0428 0.0855 0.0567  2 Ga 2.48
Se 0.6368 0.2736 0.4803  1 Zn 2.44
Se 0.5139 0.0278 0.7762  1 Ga 2.40
Se 0.3053 0.6107 0.4128  1 Ga 2.47, 2 Zn 2.64
Sr 0.8893 0.7785 0.1596  6 Se 3.05-3.23
Sr 0.8858 0.7715 0.7925  7 Se 3.11-3.31
Sr 0.1107 0.2215 0.6596  6 Se 3.05-3.23
Sr 0.1142 0.2285 0.2925  7 Se 3.11-3.31
Ga 0.4306 0.8612 0.4506  4 Se 2.40-2.48
Ga 0.5694 0.1388 0.9506  4 Se 2.40-2.48
Zn 0.2410 0.4820 0.0279  5 Se 2.44-2.69
Zn 0.7590 0.5180 0.5279  5 Se 2.44-2.69

Computed properties:
As for the space group: Cmc2_1. The theoretical density is 4.8 g cm⁻³.

Number 1: ΔE_f (raw) -1.111 eV per atom. Number 2: ΔE_f (raw) -1.374 eV per atom. Number 3: ΔE_f (raw) -0.338 eV per atom. Number 4: ΔE_f (raw) -1.122 eV per atom.